Run P
Below is a relaxed structure of K2SbCl, with properties calculated at the PBE-GGA level.

abc: 6.9378 6.9378 6.9378
angles: 146.21 107.56 82.37
With the nearest neighbours (Å) after each atom.
Fractional positions:
K  0.2080  0.2080  0.0000  2 Cl 2.96
K  0.7920  0.7920  0.0000  2 Cl 2.96
Sb  0.5000  0.0000  0.5000  4 K 3.66, 2 Sb 4.03
Cl  0.0000  0.5000  0.5000  4 K 2.96

Calculated values
Volume   43.2 Å³ per atom

Run Q
Below is a relaxed structure of K2SbCl, with properties calculated at the PBE-GGA level.

abc: 10.0784 10.0784 10.0784
angles: 158.82 158.56 30.31
With the nearest neighbours (Å) after each atom.
Fractional positions:
K  0.0000  0.0000  0.0000  4 Cl 3.10
K  0.7098  0.2098  0.5000  2 Cl 3.07
Sb  0.3408  0.8408  0.5000  6 K 3.62-3.66, 4 Sb 3.70-3.75
Cl  0.5841  0.5841  0.0000  6 K 3.07-3.10

Calculated values
Volume   33.8 Å³ per atom

Run R
Below is a relaxed structure of K2SbCl, with properties calculated at the PBE-GGA level.

abc: 5.9099 5.9099 5.9099
angles: 60.00 60.00 60.00
With the nearest neighbours (Å) after each atom.
Fractional positions:
K  0.0000  0.0000  0.0000  4 Sb 3.62, 4 K 3.62
K  0.2500  0.2500  0.2500  4 Cl 3.62, 4 K 3.62
Sb  0.7500  0.7500  0.7500  4 Cl 3.62, 4 K 3.62
Cl  0.5000  0.5000  0.5000  4 Sb 3.62, 4 K 3.62

Calculated values
Volume   36.5 Å³ per atom

Run S
Below is a relaxed structure of K2SbCl, with properties calculated at the PBE-GGA level.

abc: 10.0190 10.0190 10.0190
angles: 23.07 23.07 23.07
With the nearest neighbours (Å) after each atom.
Fractional positions:
K  0.2361  0.2361  0.2361  3 Cl 3.08
K  0.7639  0.7639  0.7639  3 Cl 3.08
Sb  0.0000  0.0000  0.0000  6 K 3.66, 6 Sb 4.01
Cl  0.5000  0.5000  0.5000  6 K 3.08

Calculated values
Volume   33.9 Å³ per atom

Question: which arrangement is favored energetically? Ranking from most to least stable: run Q, run S, run P, run R.

Run P
Below is a relaxed structure of KSb2Cl8, with properties calculated at the PBE-GGA level.

abc: 7.4803 7.4803 7.1715
angles: 92.70 92.70 65.39
With the nearest neighbours (Å) after each atom.
Fractional positions:
K  0.0000  0.0000  0.0000  6 Cl 3.33-3.44
Sb  0.3468  0.3468  0.6136  4 Cl 2.41-2.57
Sb  0.6532  0.6532  0.3864  4 Cl 2.41-2.57
Cl  0.0474  0.6809  0.6242  1 Sb 2.57
Cl  0.2550  0.2550  0.9000  1 Sb 2.41
Cl  0.3191  0.9526  0.3758  1 Sb 2.57
Cl  0.4718  0.4718  0.2439  1 Sb 2.45
Cl  0.5282  0.5282  0.7561  1 Sb 2.45
Cl  0.6809  0.0474  0.6242  1 Sb 2.57
Cl  0.7450  0.7450  0.1000  1 Sb 2.41
Cl  0.9526  0.3191  0.3758  1 Sb 2.57

Calculated values
Volume   33.1 Å³ per atom

Run Q
Below is a relaxed structure of KSb2Cl8, with properties calculated at the PBE-GGA level.

abc: 7.3401 7.3401 9.1533
angles: 96.71 96.71 55.73
With the nearest neighbours (Å) after each atom.
Fractional positions:
K  0.0000  0.0000  0.0000  8 Cl 3.51-3.72
Sb  0.2559  0.2559  0.6780  4 Cl 2.38-2.60
Sb  0.7441  0.7441  0.3220  4 Cl 2.38-2.60
Cl  0.0848  0.5856  0.2115  1 Sb 2.38
Cl  0.1399  0.1399  0.4341  1 Sb 2.52
Cl  0.4144  0.9152  0.7885  1 Sb 2.38
Cl  0.4212  0.4212  0.8728  1 Sb 2.60, 1 Cl 2.89
Cl  0.5788  0.5788  0.1272  1 Sb 2.60, 1 Cl 2.89
Cl  0.5856  0.0848  0.2115  1 Sb 2.38
Cl  0.8601  0.8601  0.5659  1 Sb 2.52
Cl  0.9152  0.4144  0.7885  1 Sb 2.38

Calculated values
Volume   36.7 Å³ per atom

Question: which arrangement is favored energetically? Ranking from most to least stable: run P, run Q.

Run P
Below is a relaxed structure of KSbCl2, with properties calculated at the PBE-GGA level.

abc: 9.7195 9.7195 9.7195
angles: 145.64 145.64 49.39
With the nearest neighbours (Å) after each atom.
Fractional positions:
K  0.0000  0.0000  0.0000  4 Cl 3.19
K  0.7500  0.2500  0.5000  4 Cl 3.19
Sb  0.2500  0.7500  0.5000  4 Cl 2.84
Sb  0.5000  0.5000  0.0000  4 Cl 2.84
Cl  0.1892  0.6250  0.0642  2 Sb 2.84
Cl  0.3750  0.4392  0.5642  2 Sb 2.84
Cl  0.5608  0.1250  0.9358  2 Sb 2.84
Cl  0.8750  0.8108  0.4358  2 Sb 2.84

Calculated values
Volume   36.4 Å³ per atom

Run Q
Below is a relaxed structure of KSbCl2, with properties calculated at the PBE-GGA level.

abc: 9.3921 9.3921 9.3921
angles: 22.69 22.69 22.69
With the nearest neighbours (Å) after each atom.
Fractional positions:
K  0.0000  0.0000  0.0000  6 Cl 3.03
Sb  0.5000  0.5000  0.5000  6 Cl 3.23
Cl  0.2549  0.2549  0.2549  3 K 3.03, 3 Sb 3.23
Cl  0.7451  0.7451  0.7451  3 K 3.03, 3 Sb 3.23

Calculated values
Volume   27.0 Å³ per atom

Question: which arrangement is favored energetically? Ranking from most to least stable: run Q, run P.

Run P
Below is a relaxed structure of KSbCl2, with properties calculated at the PBE-GGA level.

abc: 5.5098 5.5098 5.5098
angles: 60.00 60.00 60.00
With the nearest neighbours (Å) after each atom.
Fractional positions:
K  0.0000  0.0000  0.0000  4 Cl 3.37, 4 Sb 3.37
Sb  0.7500  0.7500  0.7500  4 K 3.37, 4 Cl 3.37
Cl  0.2500  0.2500  0.2500  4 Cl 3.37, 4 K 3.37
Cl  0.5000  0.5000  0.5000  4 Cl 3.37, 4 Sb 3.37

Calculated values
Volume   29.6 Å³ per atom

Run Q
Below is a relaxed structure of KSbCl2, with properties calculated at the PBE-GGA level.

abc: 6.0526 6.0526 6.0526
angles: 140.33 116.57 77.47
With the nearest neighbours (Å) after each atom.
Fractional positions:
K  0.0000  0.0000  0.0000  8 Cl 3.52-3.69, 4 Sb 3.79
Sb  0.5000  0.5000  0.0000  4 Cl 2.78
Cl  0.3022  0.8022  0.5000  2 Sb 2.78
Cl  0.6978  0.1978  0.5000  2 Sb 2.78

Calculated values
Volume   30.9 Å³ per atom

Question: which arrangement is favored energetically? Ranking from most to least stable: run Q, run P.

Run P
Below is a relaxed structure of KSbCl6, with properties calculated at the PBE-GGA level.

abc: 7.0804 7.0804 11.1503
angles: 91.02 91.02 73.82
With the nearest neighbours (Å) after each atom.
Fractional positions:
K  0.0090  0.9910  0.7500  8 Cl 3.32-3.44
K  0.9910  0.0090  0.2500  8 Cl 3.32-3.44
Sb  0.0000  0.5000  0.5000  6 Cl 2.41-2.43
Sb  0.5000  0.0000  0.0000  6 Cl 2.41-2.43
Cl  0.1391  0.5303  0.3076  1 Sb 2.41
Cl  0.1577  0.1923  0.0056  1 Sb 2.43
Cl  0.1923  0.1577  0.5056  1 Sb 2.43
Cl  0.2637  0.5959  0.5996  1 Sb 2.41
Cl  0.4041  0.7363  0.9004  1 Sb 2.41
Cl  0.4697  0.8609  0.1924  1 Sb 2.41
Cl  0.5303  0.1391  0.8076  1 Sb 2.41
Cl  0.5959  0.2637  0.0996  1 Sb 2.41
Cl  0.7363  0.4041  0.4004  1 Sb 2.41
Cl  0.8077  0.8423  0.4944  1 Sb 2.43
Cl  0.8423  0.8077  0.9944  1 Sb 2.43
Cl  0.8609  0.4697  0.6924  1 Sb 2.41

Calculated values
Volume   33.5 Å³ per atom

Run Q
Below is a relaxed structure of KSbCl6, with properties calculated at the PBE-GGA level.

abc: 6.7542 6.7542 6.7094
angles: 104.44 104.44 105.12
With the nearest neighbours (Å) after each atom.
Fractional positions:
K  0.0000  0.0000  0.0000  6 Cl 3.32-3.33
Sb  0.5000  0.5000  0.5000  6 Cl 2.42
Cl  0.2215  0.2215  0.5420  1 Sb 2.42
Cl  0.2219  0.5383  0.2212  1 Sb 2.42
Cl  0.4617  0.7781  0.7788  1 Sb 2.42
Cl  0.5383  0.2219  0.2212  1 Sb 2.42
Cl  0.7781  0.4617  0.7788  1 Sb 2.42
Cl  0.7785  0.7785  0.4580  1 Sb 2.42

Calculated values
Volume   33.7 Å³ per atom

Question: which arrangement is favored energetically? Ranking from most to least stable: run P, run Q.

Run P
Below is a relaxed structure of K2ScCl, with properties calculated at the PBE-GGA level.

abc: 7.4168 7.4168 7.4168
angles: 150.83 122.97 65.33
With the nearest neighbours (Å) after each atom.
Fractional positions:
K  0.1880  0.1880  0.0000  2 Cl 3.00
K  0.8120  0.8120  0.0000  2 Cl 3.00
Sc  0.5000  0.0000  0.5000  2 Sc 3.74, 4 Cl 4.00
Cl  0.0000  0.5000  0.5000  4 K 3.00

Calculated values
Volume   41.3 Å³ per atom

Run Q
Below is a relaxed structure of K2ScCl, with properties calculated at the PBE-GGA level.

abc: 6.1568 6.1568 6.1568
angles: 60.00 60.00 60.00
With the nearest neighbours (Å) after each atom.
Fractional positions:
K  0.0000  0.0000  0.0000  4 Sc 3.77, 4 K 3.77
K  0.2500  0.2500  0.2500  4 Cl 3.77, 4 K 3.77
Sc  0.7500  0.7500  0.7500  4 Cl 3.77, 4 K 3.77
Cl  0.5000  0.5000  0.5000  4 Sc 3.77, 4 K 3.77

Calculated values
Volume   41.3 Å³ per atom

Question: which arrangement is favored energetically? Ranking from most to least stable: run P, run Q.

Run P
Below is a relaxed structure of KScCl2, with properties calculated at the PBE-GGA level.

abc: 3.7730 3.7730 7.6565
angles: 90.00 90.00 90.00
With the nearest neighbours (Å) after each atom.
Fractional positions:
K  0.0000  0.0000  0.0000  4 Cl 3.13
Sc  0.5000  0.5000  0.4514  5 Cl 2.56-2.67
Cl  0.0000  0.0000  0.4682  4 Sc 2.67
Cl  0.5000  0.5000  0.7863  1 Sc 2.56

Calculated values
Volume   27.2 Å³ per atom

Run Q
Below is a relaxed structure of KScCl2, with properties calculated at the PBE-GGA level.

abc: 8.6421 8.6421 8.6421
angles: 24.31 24.31 24.31
With the nearest neighbours (Å) after each atom.
Fractional positions:
K  0.0000  0.0000  0.0000  6 Cl 3.23-3.31
Sc  0.1695  0.1695  0.1695  6 Cl 2.68-2.70
Cl  0.5692  0.5692  0.5692  3 Sc 2.68
Cl  0.7685  0.7685  0.7685  3 Sc 2.70

Calculated values
Volume   24.0 Å³ per atom

Question: which arrangement is favored energetically? Ranking from most to least stable: run Q, run P.

Run P
Below is a relaxed structure of KScCl2, with properties calculated at the PBE-GGA level.

abc: 7.9614 7.9614 7.9614
angles: 131.71 131.71 70.69
With the nearest neighbours (Å) after each atom.
Fractional positions:
K  0.0000  0.0000  0.0000  4 Cl 3.13
K  0.7500  0.2500  0.5000  4 Cl 3.13
Sc  0.2500  0.7500  0.5000  4 Cl 2.56
Sc  0.5000  0.5000  0.0000  4 Cl 2.56
Cl  0.2006  0.6250  0.0756  2 Sc 2.56
Cl  0.3750  0.4506  0.5756  2 Sc 2.56
Cl  0.5494  0.1250  0.9244  2 Sc 2.56
Cl  0.8750  0.7994  0.4244  2 Sc 2.56

Calculated values
Volume   34.4 Å³ per atom

Run Q
Below is a relaxed structure of KScCl2, with properties calculated at the PBE-GGA level.

abc: 6.2529 6.2529 6.2529
angles: 145.88 105.34 84.70
With the nearest neighbours (Å) after each atom.
Fractional positions:
K  0.0000  0.0000  0.0000  4 Cl 3.39, 2 K 3.67
Sc  0.5000  0.5000  0.0000  4 Cl 2.55
Cl  0.3079  0.8079  0.5000  2 Sc 2.55
Cl  0.6921  0.1921  0.5000  2 Sc 2.55

Calculated values
Volume   32.1 Å³ per atom

Run R
Below is a relaxed structure of KScCl2, with properties calculated at the PBE-GGA level.

abc: 3.5209 3.8418 7.6739
angles: 90.00 90.00 90.00
With the nearest neighbours (Å) after each atom.
Fractional positions:
K  0.0000  0.0000  0.0000  8 Cl 3.20, 2 K 3.52
Sc  0.0000  0.5000  0.5000  4 Cl 2.65
Cl  0.5000  0.5000  0.2413  2 Sc 2.65
Cl  0.5000  0.5000  0.7587  2 Sc 2.65

Calculated values
Volume   26.0 Å³ per atom

Run S
Below is a relaxed structure of KScCl2, with properties calculated at the PBE-GGA level.

abc: 5.0915 5.0915 5.0915
angles: 60.00 60.00 60.00
With the nearest neighbours (Å) after each atom.
Fractional positions:
K  0.0000  0.0000  0.0000  8 Cl 3.12
Sc  0.5000  0.5000  0.5000  8 Cl 3.12
Cl  0.2500  0.2500  0.2500  4 Sc 3.12, 4 K 3.12
Cl  0.7500  0.7500  0.7500  4 Sc 3.12, 4 K 3.12

Calculated values
Volume   23.3 Å³ per atom

Question: which arrangement is favored energetically? Ranking from most to least stable: run R, run Q, run P, run S.

Run P
Below is a relaxed structure of KScCl2, with properties calculated at the PBE-GGA level.

abc: 3.9489 3.9489 8.9343
angles: 90.00 90.00 126.90
With the nearest neighbours (Å) after each atom.
Fractional positions:
K  0.0000  0.0000  0.0000  4 Cl 3.07
Sc  0.0000  0.0000  0.5000  4 Cl 2.64
Cl  0.5000  0.5000  0.2809  2 Sc 2.64
Cl  0.5000  0.5000  0.7191  2 Sc 2.64

Calculated values
Volume   27.9 Å³ per atom

Run Q
Below is a relaxed structure of KScCl2, with properties calculated at the PBE-GGA level.

abc: 8.5294 8.5294 8.5294
angles: 24.72 24.72 24.72
With the nearest neighbours (Å) after each atom.
Fractional positions:
K  0.0000  0.0000  0.0000  6 Cl 3.23
Sc  0.5000  0.5000  0.5000  6 Cl 2.70
Cl  0.2345  0.2345  0.2345  3 Sc 2.70
Cl  0.7655  0.7655  0.7655  3 Sc 2.70

Calculated values
Volume   23.9 Å³ per atom

Run R
Below is a relaxed structure of KScCl2, with properties calculated at the PBE-GGA level.

abc: 3.7501 4.3048 7.8020
angles: 90.00 90.00 90.00
With the nearest neighbours (Å) after each atom.
Fractional positions:
K  0.0000  0.0000  0.0000  4 Cl 2.85
Sc  0.5000  0.0000  0.5000  4 Cl 2.85
Cl  0.0000  0.5000  0.5000  4 Sc 2.85
Cl  0.5000  0.5000  0.0000  4 K 2.85

Calculated values
Volume   31.5 Å³ per atom

Run S
Below is a relaxed structure of KScCl2, with properties calculated at the PBE-GGA level.

abc: 4.7711 3.6142 5.8677
angles: 90.00 92.69 90.00
With the nearest neighbours (Å) after each atom.
Fractional positions:
K  0.0000  0.0000  0.0000  6 Cl 2.93-2.99
Sc  0.5000  0.5000  0.5000  6 Cl 2.93-2.99
Cl  0.0000  0.0000  0.5000  2 K 2.93, 4 Sc 2.99
Cl  0.5000  0.5000  0.0000  2 Sc 2.93, 4 K 2.99

Calculated values
Volume   25.3 Å³ per atom

Question: which arrangement is favored energetically? Ranking from most to least stable: run Q, run P, run S, run R.

Run P
Below is a relaxed structure of KScCl2, with properties calculated at the PBE-GGA level.

abc: 5.3560 5.3560 5.3560
angles: 60.00 60.00 60.00
With the nearest neighbours (Å) after each atom.
Fractional positions:
K  0.0000  0.0000  0.0000  4 Cl 3.28, 4 Sc 3.28
Sc  0.2500  0.2500  0.2500  4 Cl 3.28, 4 K 3.28
Cl  0.5000  0.5000  0.5000  4 Cl 3.28, 4 Sc 3.28
Cl  0.7500  0.7500  0.7500  4 Cl 3.28, 4 K 3.28

Calculated values
Volume   27.2 Å³ per atom

Run Q
Below is a relaxed structure of KScCl2, with properties calculated at the PBE-GGA level.

abc: 7.7503 7.7503 7.7503
angles: 152.66 151.97 39.56
With the nearest neighbours (Å) after each atom.
Fractional positions:
K  0.0000  0.0000  0.0000  6 Cl 3.14-3.24
Sc  0.2513  0.7513  0.5000  6 Cl 2.70-2.79
Cl  0.6183  0.6183  0.0000  2 Sc 2.70
Cl  0.8170  0.3170  0.5000  4 Sc 2.79

Calculated values
Volume   25.1 Å³ per atom

Question: which arrangement is favored energetically? Ranking from most to least stable: run Q, run P.

Run P
Below is a relaxed structure of KScCl2, with properties calculated at the PBE-GGA level.

abc: 5.1737 5.1737 3.8948
angles: 90.00 90.00 90.00
With the nearest neighbours (Å) after each atom.
Fractional positions:
K  0.0000  0.0000  0.0000  8 Cl 3.24
Sc  0.5000  0.5000  0.5000  4 Cl 2.59
Cl  0.0000  0.5000  0.5000  2 Sc 2.59
Cl  0.5000  0.0000  0.5000  2 Sc 2.59

Calculated values
Volume   26.1 Å³ per atom

Run Q
Below is a relaxed structure of KScCl2, with properties calculated at the PBE-GGA level.

abc: 8.2850 8.2850 8.2850
angles: 151.90 151.90 40.15
With the nearest neighbours (Å) after each atom.
Fractional positions:
K  0.0000  0.0000  0.0000  4 Cl 2.84
Sc  0.2500  0.7500  0.5000  4 Cl 2.84
Cl  0.5000  0.5000  0.0000  4 K 2.84
Cl  0.7500  0.2500  0.5000  4 Sc 2.84

Calculated values
Volume   31.5 Å³ per atom

Question: which arrangement is favored energetically? Ranking from most to least stable: run P, run Q.